1.
# PBE AlTl2Tc, optimized geometry
# * E_form: 0.644 eV per atom
# * polymorph energy (0 for the lowest one): 0.382 eV/atom
# * space group: No. 166
data_AlTl2Tc
_cell_length_a 9.327
_cell_length_b 9.327
_cell_length_c 9.327
_cell_angle_alpha 20.07
_cell_angle_beta 20.07
_cell_angle_gamma 20.07
_symmetry_space_group_name_H-M 'P 1'
_symmetry_Int_Tables_number 1
loop_
_symmetry_equiv_pos_as_xyz
'x,y,z'
loop_
_atom_site_label
_atom_site_fract_x
_atom_site_fract_y
_atom_site_fract_z
Tl1 0.495 0.495 0.495
Tl2 0.005 0.005 0.005
Tc1 0.750 0.750 0.750
Al1 0.250 0.250 0.250


2.
# PBE AlTl2Tc, optimized geometry
# * E_form: 0.616 eV per atom
# * polymorph energy (0 for the lowest one): 0.354 eV/atom
# * space group: No. 139
data_AlTl2Tc
_cell_length_a 5.364
_cell_length_b 5.364
_cell_length_c 5.364
_cell_angle_alpha 133.77
_cell_angle_beta 133.77
_cell_angle_gamma 67.45
_symmetry_space_group_name_H-M 'P 1'
_symmetry_Int_Tables_number 1
loop_
_symmetry_equiv_pos_as_xyz
'x,y,z'
loop_
_atom_site_label
_atom_site_fract_x
_atom_site_fract_y
_atom_site_fract_z
Tc1 0.250 0.750 0.500
Tl1 0.500 0.500 0.000
Tl2 0.000 0.000 0.000
Al1 0.750 0.250 0.500


3.
# PBE Al2TlTc2, optimized geometry
# * E_form: 0.053 eV per atom
# * polymorph energy (0 for the lowest one): 0.000 eV/atom
# * space group: No. 127
data_Al2TlTc2
_cell_length_a 7.100
_cell_length_b 7.100
_cell_length_c 3.339
_cell_angle_alpha 90.00
_cell_angle_beta 90.00
_cell_angle_gamma 90.00
_symmetry_space_group_name_H-M 'P 1'
_symmetry_Int_Tables_number 1
loop_
_symmetry_equiv_pos_as_xyz
'x,y,z'
loop_
_atom_site_label
_atom_site_fract_x
_atom_site_fract_y
_atom_site_fract_z
Al1 0.359 0.141 0.500
Al2 0.859 0.359 0.500
Al3 0.141 0.641 0.500
Al4 0.641 0.859 0.500
Tl1 0.000 0.000 0.000
Tl2 0.500 0.500 0.000
Tc1 0.648 0.148 0.000
Tc2 0.148 0.352 0.000
Tc3 0.352 0.852 0.000
Tc4 0.852 0.648 0.000


4.
# PBE AlTlTc, optimized geometry
# * E_form: 0.369 eV per atom
# * polymorph energy (0 for the lowest one): 0.128 eV/atom
# * space group: No. 156
data_AlTlTc
_cell_length_a 3.082
_cell_length_b 3.082
_cell_length_c 6.775
_cell_angle_alpha 90.00
_cell_angle_beta 90.00
_cell_angle_gamma 120.00
_symmetry_space_group_name_H-M 'P 1'
_symmetry_Int_Tables_number 1
loop_
_symmetry_equiv_pos_as_xyz
'x,y,z'
loop_
_atom_site_label
_atom_site_fract_x
_atom_site_fract_y
_atom_site_fract_z
Tc1 0.667 0.333 0.308
Al1 0.000 0.000 0.037
Tl1 0.333 0.667 0.656


What did the third record say?
# PBE Al2TlTc2, optimized geometry
# * E_form: 0.053 eV per atom
# * polymorph energy (0 for the lowest one): 0.000 eV/atom
# * space group: No. 127
data_Al2TlTc2
_cell_length_a 7.100
_cell_length_b 7.100
_cell_length_c 3.339
_cell_angle_alpha 90.00
_cell_angle_beta 90.00
_cell_angle_gamma 90.00
_symmetry_space_group_name_H-M 'P 1'
_symmetry_Int_Tables_number 1
loop_
_symmetry_equiv_pos_as_xyz
'x,y,z'
loop_
_atom_site_label
_atom_site_fract_x
_atom_site_fract_y
_atom_site_fract_z
Al1 0.359 0.141 0.500
Al2 0.859 0.359 0.500
Al3 0.141 0.641 0.500
Al4 0.641 0.859 0.500
Tl1 0.000 0.000 0.000
Tl2 0.500 0.500 0.000
Tc1 0.648 0.148 0.000
Tc2 0.148 0.352 0.000
Tc3 0.352 0.852 0.000
Tc4 0.852 0.648 0.000


Which of these has the lowest E_form? Al2TlTc2


What did the second record say?
# PBE AlTl2Tc, optimized geometry
# * E_form: 0.616 eV per atom
# * polymorph energy (0 for the lowest one): 0.354 eV/atom
# * space group: No. 139
data_AlTl2Tc
_cell_length_a 5.364
_cell_length_b 5.364
_cell_length_c 5.364
_cell_angle_alpha 133.77
_cell_angle_beta 133.77
_cell_angle_gamma 67.45
_symmetry_space_group_name_H-M 'P 1'
_symmetry_Int_Tables_number 1
loop_
_symmetry_equiv_pos_as_xyz
'x,y,z'
loop_
_atom_site_label
_atom_site_fract_x
_atom_site_fract_y
_atom_site_fract_z
Tc1 0.250 0.750 0.500
Tl1 0.500 0.500 0.000
Tl2 0.000 0.000 0.000
Al1 0.750 0.250 0.500